Rb3ZrNp3S8: optimized geometry, PBE.

Summary:
For the uncorrected formation energy, the calculation gives -1.43 eV/atom. As for the total energy: -104.72 eV/cell.

Cell: 7.9990 7.9999 9.0909 Å, 116.14 90.00 119.99°
Last column: nearest neighbours and their distance in Å.
Atoms (fractional coordinates):
Np1 0.5000 0.5000 0.5000  6 S 2.75-2.77
Rb1 0.0000 0.0000 0.0000  6 S 3.34-3.35
Np2 0.5000 0.0000 0.5000  6 S 2.75-2.77
Zr1 0.0000 0.0000 0.5000  6 S 2.64
Np3 0.0000 0.5000 0.5000  6 S 2.75-2.77
S1 0.7791 0.5581 0.3158  1 Zr 2.64, 2 Np 2.77
S2 0.7790 0.0365 0.3159  1 Zr 2.64, 2 Np 2.77
S3 0.2209 0.4419 0.6842  1 Zr 2.64, 2 Np 2.77
Rb2 0.0000 0.5000 0.0000  6 S 3.35
S4 0.2698 0.5395 0.3094  3 Np 2.75
S5 0.2210 0.9635 0.6841  1 Zr 2.64, 2 Np 2.77
Rb3 0.5000 0.5000 0.0000  6 S 3.35
S6 0.2575 0.0365 0.3159  1 Zr 2.64, 2 Np 2.77
S7 0.7425 0.9635 0.6841  1 Zr 2.64, 2 Np 2.77
S8 0.7302 0.4605 0.6906  3 Np 2.75